This record from Alexandria describes a relaxed structure of KLi2Mn2O4. The functional is GGA+U.

Results
Spin magnetization   9.000 μB/f.u.
Uncorrected energy   -6.01 eV per atom

Cell lengths 3.2590, 12.6868, 5.5065 Å; angles 90.00, 92.95, 90.00 degrees
Space group P2_1/m (No. 11)
Asymmetric unit:
K 0.0512 0.2500 0.1568 (multiplicity 2)
Li 0.4755 0.6428 0.3506 (multiplicity 4)
Mn 0.0000 0.0000 0.5000 (multiplicity 2)
Mn 0.5000 0.0000 0.0000 (multiplicity 2)
O 0.0308 0.0973 0.7898 (multiplicity 4)
O 0.4304 0.5891 0.6630 (multiplicity 4)